## NbGaSb2Pt (PBE-GGA)

Data for crystalline NbGaSb2Pt at its relaxed geometry.

Cell: 5.3328 4.6066 5.3328 Å, 90.00 90.00 90.00°
Last column: nearest neighbours and their distance in Å.
Sites, in units of the cell vectors:
Ga 0.0000 0.5000 0.0000  2 Pt 2.30
Pt 0.0000 0.0000 0.0000  2 Ga 2.30
Nb 0.5000 0.5000 0.5000  8 Sb 3.52, 4 Ga 3.77
Sb 0.5000 0.0000 0.0000  2 Pt 2.67
Sb 0.0000 0.0000 0.5000  2 Pt 2.67

Calculated values
- Crystal system: tetragonal
- DOS(E_F): 1.097 states/eV per atom
- Formation energy without anion corrections: 3.10 eV/f.u.
- Total magnetic moment: 0.495 μB/atom
- Total energy: -4.8570 eV per atom
- SG: P4/mmm

=====

## CaPdIN2 (PBE-GGA)

Data for crystalline CaPdIN2 at its relaxed geometry.

Cell: 4.2373 4.2373 5.5079 Å, 90.00 90.00 90.00°
Last column: nearest neighbours and their distance in Å.
Sites, in units of the cell vectors:
N 0.0000 0.5000 0.0000  2 Pd 2.12
N 0.5000 0.0000 0.0000  2 Pd 2.12
Ca 0.5000 0.5000 0.5000  4 I 3.00
Pd 0.0000 0.0000 0.0000  4 N 2.12
I 0.0000 0.0000 0.5000  2 Pd 2.75, 4 Ca 3.00

Calculated values
- Crystal system: tetragonal
- DOS(E_F): 0.593 states/eV per atom
- Formation energy without anion corrections: 4.03 eV/f.u.
- Polymorph energy (0 for the lowest one): 0.0 kJ per mole of atoms
- Total magnetic moment: 0.554 μB/atom
- Total energy: -4.2732 eV per atom
- SG: P4/mmm

=====

## TcIrI2 (PBE-GGA)

Data for crystalline TcIrI2 at its relaxed geometry.

Cell: 5.9830 5.9830 7.3289 Å, 65.91 65.91 90.00°
Last column: nearest neighbours and their distance in Å.
Sites, in units of the cell vectors:
I 0.1261 0.6250 0.2500  2 Tc 2.59, 2 Ir 2.59
I 0.3750 0.3761 0.7500  2 Tc 2.59, 2 Ir 2.59
I 0.6239 0.1250 0.2500  2 Tc 2.59, 2 Ir 2.59
I 0.8750 0.8739 0.7500  2 Tc 2.59, 2 Ir 2.59
Tc 0.5000 0.5000 0.0000  4 I 2.59
Tc 0.2500 0.7500 0.5000  4 I 2.59
Ir 0.0000 0.0000 0.0000  4 I 2.59
Ir 0.7500 0.2500 0.5000  4 I 2.59

Calculated values
- Crystal system: tetragonal
- DOS(E_F): 0.788 states/eV per atom
- Formation energy without anion corrections: 4.22 eV/f.u.
- Polymorph energy (0 for the lowest one): 0.0 kJ per mole of atoms
- Total magnetic moment: 0.000 μB/atom
- Total energy: -4.5257 eV per atom
- SG: I-42d

=====

## KW2Se (PBE-GGA)

Data for crystalline KW2Se at its relaxed geometry.

Cell: 2.9063 2.9063 10.3722 Å, 90.00 90.00 114.77°
Last column: nearest neighbours and their distance in Å.
Sites, in units of the cell vectors:
W 0.0000 0.0000 0.5487  2 Se 2.61, 4 W 2.91
W 0.0000 0.0000 0.9513  2 Se 2.61, 4 W 2.91
Se 0.5000 0.5000 0.7500  4 W 2.61, 4 Se 2.91
K 0.5000 0.5000 0.2500  6 K 2.91-3.13

Calculated values
- Crystal system: orthorhombic
- DOS(E_F): 0.648 states/eV per atom
- Formation energy without anion corrections: 4.89 eV/f.u.
- Total magnetic moment: 0.000 μB/atom
- Total energy: -6.3990 eV per atom
- SG: Cmmm

=====

## Er4Ge2H (PBE-GGA)

Data for crystalline Er4Ge2H at its relaxed geometry.

Cell: 4.3746 4.3746 8.4520 Å, 105.00 105.00 90.00°
Last column: nearest neighbours and their distance in Å.
Sites, in units of the cell vectors:
Er 0.8197 0.8197 0.6393  1 H 2.84, 5 Ge 2.90-3.17
Er 0.0000 0.5000 0.0000  2 H 2.19
Er 0.5000 0.0000 0.0000  2 H 2.19
Er 0.1803 0.1803 0.3607  1 H 2.84, 5 Ge 2.90-3.17
Ge 0.6351 0.6351 0.2703  9 Er 2.90-3.17
Ge 0.3649 0.3649 0.7297  9 Er 2.90-3.17
H 0.0000 0.0000 0.0000  4 Er 2.19

Calculated values
- Crystal system: tetragonal
- DOS(E_F): 0.819 states/eV per atom
- Total magnetic moment: 0.062 μB/atom
- Total energy: -5.0393 eV per atom
- SG: I4/mmm

=====

## CdSbSe2 (PBE-GGA)

Data for crystalline CdSbSe2 at its relaxed geometry.

Cell: 3.9924 3.9924 7.8160 Å, 90.00 90.00 119.75°
Last column: nearest neighbours and their distance in Å.
Sites, in units of the cell vectors:
Cd 0.5000 0.5000 0.2500  4 Se 2.76
Se 0.0000 0.0000 0.4926  2 Cd 2.76, 2 Sb 2.84
Se 0.0000 0.0000 0.0074  2 Cd 2.76, 2 Sb 2.84
Sb 0.5000 0.5000 0.7500  4 Se 2.84

Calculated values
- Crystal system: orthorhombic
- DOS(E_F): 0.559 states/eV per atom
- Formation energy without anion corrections: -0.10 eV/f.u.
- Polymorph energy (0 for the lowest one): 23.4 kJ per mole of atoms
- Total magnetic moment: 0.000 μB/atom
- Total energy: -3.0269 eV per atom
- SG: Cmmm

=====

## TbHo4Cu2 (PBE-GGA)

Data for crystalline TbHo4Cu2 at its relaxed geometry.

Cell: 4.7880 4.7880 10.2444 Å, 76.49 76.49 60.00°
Last column: nearest neighbours and their distance in Å.
Sites, in units of the cell vectors:
Tb 0.5000 0.5000 0.5000  2 Cu 2.99
Cu 0.3990 0.3990 0.8029  7 Ho 2.92-2.93, 1 Tb 2.99
Cu 0.6010 0.6010 0.1971  7 Ho 2.92-2.93, 1 Tb 2.99
Ho 0.0985 0.0985 0.7046  3 Cu 2.93
Ho 0.2999 0.2999 0.1003  4 Cu 2.92-2.93
Ho 0.9015 0.9015 0.2954  3 Cu 2.93
Ho 0.7001 0.7001 0.8997  4 Cu 2.92-2.93

Calculated values
- Crystal system: trigonal
- DOS(E_F): 1.460 states/eV per atom
- Total magnetic moment: 0.000 μB/atom
- Total energy: -4.2867 eV per atom
- SG: R-3m

=====

## InPbSN2 (PBE-GGA)

Data for crystalline InPbSN2 at its relaxed geometry.

Cell: 4.3406 4.3406 5.3513 Å, 90.00 90.00 90.00°
Last column: nearest neighbours and their distance in Å.
Sites, in units of the cell vectors:
S 0.0000 0.0000 0.5000  2 In 2.68
Pb 0.5000 0.5000 0.5000  4 S 3.07
N 0.0000 0.5000 0.0000  2 In 2.17
N 0.5000 0.0000 0.0000  2 In 2.17
In 0.0000 0.0000 0.0000  4 N 2.17

Calculated values
- Crystal system: tetragonal
- DOS(E_F): 0.410 states/eV per atom
- Formation energy without anion corrections: 5.29 eV/f.u.
- Polymorph energy (0 for the lowest one): 0.0 kJ per mole of atoms
- Total magnetic moment: 0.595 μB/atom
- Total energy: -4.3875 eV per atom
- SG: P4/mmm

=====

## ZrBi2AuSe (PBE-GGA)

Data for crystalline ZrBi2AuSe at its relaxed geometry.

Cell: 5.5920 4.9530 5.5920 Å, 90.00 90.00 90.00°
Last column: nearest neighbours and their distance in Å.
Sites, in units of the cell vectors:
Bi 0.5000 0.0000 0.0000  2 Se 2.80
Bi 0.0000 0.0000 0.5000  2 Se 2.80
Au 0.5000 0.5000 0.5000  8 Bi 3.74, 4 Zr 3.95
Se 0.0000 0.0000 0.0000  2 Zr 2.48
Zr 0.0000 0.5000 0.0000  2 Se 2.48

Calculated values
- Crystal system: tetragonal
- DOS(E_F): 0.919 states/eV per atom
- Formation energy without anion corrections: 2.50 eV/f.u.
- Total magnetic moment: 0.000 μB/atom
- Total energy: -4.1146 eV per atom
- SG: P4/mmm

=====

## Tb2MnCd (PBE-GGA)

Data for crystalline Tb2MnCd at its relaxed geometry.

Cell: 3.3113 3.3113 11.1108 Å, 81.43 81.43 60.00°
Last column: nearest neighbours and their distance in Å.
Sites, in units of the cell vectors:
Tb 0.0848 0.0848 0.7455  1 Mn 2.79
Tb 0.9152 0.9152 0.2545  1 Mn 2.79
Mn 0.0000 0.0000 0.0000  2 Tb 2.79
Cd 0.5000 0.5000 0.5000  6 Tb 3.30, 6 Cd 3.31

Calculated values
- Crystal system: trigonal
- DOS(E_F): 1.074 states/eV per atom
- Polymorph energy (0 for the lowest one): 51.2 kJ per mole of atoms
- Total magnetic moment: 0.836 μB/atom
- Total energy: -4.3750 eV per atom
- SG: R-3m

=====

## YPS2Cl (PBE-GGA)

Data for crystalline YPS2Cl at its relaxed geometry.

Cell: 4.7188 4.7188 4.5318 Å, 90.00 90.00 90.00°
Last column: nearest neighbours and their distance in Å.
Sites, in units of the cell vectors:
Y 0.5000 0.5000 0.5000  8 S 3.27, 4 Cl 3.34
S 0.0000 0.5000 0.0000  2 P 2.36
S 0.5000 0.0000 0.0000  2 P 2.36
P 0.0000 0.0000 0.0000  2 Cl 2.27, 4 S 2.36
Cl 0.0000 0.0000 0.5000  2 P 2.27

Calculated values
- Crystal system: tetragonal
- DOS(E_F): 0.422 states/eV per atom
- Formation energy without anion corrections: -2.65 eV/f.u.
- Polymorph energy (0 for the lowest one): 0.0 kJ per mole of atoms
- Total magnetic moment: 0.000 μB/atom
- Total energy: -4.9246 eV per atom
- SG: P4/mmm

=====

## Er4Tm7Tl (PBE-GGA)

Data for crystalline Er4Tm7Tl at its relaxed geometry.

Cell: 5.6105 12.4234 6.5413 Å, 100.36 64.61 76.95°
Last column: nearest neighbours and their distance in Å.
Sites, in units of the cell vectors:
Tm 0.1355 0.1142 0.6149  1 Tl 3.01
Tm 0.5000 0.0000 0.0000  2 Tl 2.81
Tm 0.3334 0.5288 0.8044  4 Tm 3.27-3.44, 5 Er 3.41-3.65
Tm 0.0023 0.6066 0.3888  5 Tm 3.24-3.39, 3 Er 3.42-3.43
Tm 0.8645 0.8858 0.3851  1 Tl 3.01
Tm 0.9977 0.3934 0.6112  5 Tm 3.24-3.39, 3 Er 3.42-3.43
Tm 0.6666 0.4712 0.1956  4 Tm 3.27-3.44, 5 Er 3.41-3.65
Er 0.3556 0.2860 0.0029  7 Tm 3.42-3.80, 3 Er 3.49-3.79
Er 0.3106 0.7667 0.6121  1 Tl 3.03
Er 0.6894 0.2333 0.3879  1 Tl 3.03
Er 0.6444 0.7140 0.9971  7 Tm 3.42-3.80, 3 Er 3.49-3.79
Tl 0.0000 0.0000 0.0000  4 Tm 2.81-3.01, 2 Er 3.03

Calculated values
- Crystal system: monoclinic
- DOS(E_F): 1.496 states/eV per atom
- Total magnetic moment: 0.000 μB/atom
- Total energy: -4.1498 eV per atom
- SG: C2/m